No. 1
First-principles (PBE-GGA) data for a relaxed Mn2FeRe crystal, as listed in Alexandria.

Computed properties:
Energy of formation in eV per atom: 0.154
D(E_F) in states/eV/atom: 1.125

```
data_Mn2FeRe
_chemical_formula_sum 'Mn2 Fe1 Re1'
_symmetry_space_group_name_H-M 'P 1'
_symmetry_Int_Tables_number 1
_symmetry_space_group_name_Hall 'P 1'
_cell_length_a 2.5759
_cell_length_b 2.5759
_cell_length_c 8.0009
_cell_angle_alpha 90.00
_cell_angle_beta 90.00
_cell_angle_gamma 108.45
loop_
_atom_site_label
_atom_site_fract_x
_atom_site_fract_y
_atom_site_fract_z
Mn1 0.0000 0.0000 0.2420
Mn2 0.0000 0.0000 0.7580
Fe1 0.5000 0.5000 0.0000
Re1 0.5000 0.5000 0.5000
```

***

No. 2
First-principles (PBE-GGA) data for a relaxed Pm4ZnGe2 crystal, as listed in Alexandria.

Computed properties:
Energy of formation in eV per atom: -0.433
D(E_F) in states/eV/atom: 0.927

```
data_Pm4ZnGe2
_chemical_formula_sum 'Pm4 Zn1 Ge2'
_symmetry_space_group_name_H-M 'P 1'
_symmetry_Int_Tables_number 1
_symmetry_space_group_name_Hall 'P 1'
_cell_length_a 9.3410
_cell_length_b 9.3410
_cell_length_c 9.3410
_cell_angle_alpha 31.20
_cell_angle_beta 31.20
_cell_angle_gamma 31.20
loop_
_atom_site_label
_atom_site_fract_x
_atom_site_fract_y
_atom_site_fract_z
Pm1 0.1227 0.1227 0.1227
Pm2 0.2910 0.2910 0.2910
Pm3 0.7090 0.7090 0.7090
Pm4 0.8773 0.8773 0.8773
Zn1 0.5000 0.5000 0.5000
Ge1 0.4057 0.4057 0.4057
Ge2 0.5943 0.5943 0.5943
```

***

No. 3
First-principles (PBE-GGA) data for a relaxed La2SnPd3Au12 crystal, as listed in Alexandria.

Computed properties:
Energy of formation in eV per atom: -0.002
D(E_F) in states/eV/atom: 0.480

```
data_La2SnPd3Au12
_chemical_formula_sum 'La2 Sn1 Pd3 Au12'
_symmetry_space_group_name_H-M 'P 1'
_symmetry_Int_Tables_number 1
_symmetry_space_group_name_Hall 'P 1'
_cell_length_a 8.4821
_cell_length_b 8.4821
_cell_length_c 8.4821
_cell_angle_alpha 61.30
_cell_angle_beta 61.30
_cell_angle_gamma 61.30
loop_
_atom_site_label
_atom_site_fract_x
_atom_site_fract_y
_atom_site_fract_z
La1 0.1146 0.1146 0.1146
La2 0.8854 0.8854 0.8854
Sn1 0.5000 0.5000 0.5000
Pd1 0.0000 0.5000 0.5000
Pd2 0.5000 0.0000 0.5000
Pd3 0.5000 0.5000 0.0000
Au1 0.1094 0.6379 0.6379
Au2 0.1252 0.1252 0.6276
Au3 0.1252 0.6276 0.1252
Au4 0.3621 0.3621 0.8906
Au5 0.3621 0.8906 0.3621
Au6 0.3724 0.8748 0.8748
Au7 0.6276 0.1252 0.1252
Au8 0.6379 0.1094 0.6379
Au9 0.6379 0.6379 0.1094
Au10 0.8748 0.3724 0.8748
Au11 0.8748 0.8748 0.3724
Au12 0.8906 0.3621 0.3621
```

***

No. 4
First-principles (PBE-GGA) data for a relaxed ThMg4Pa crystal, as listed in Alexandria.

Computed properties:
Energy of formation in eV per atom: 0.186
D(E_F) in states/eV/atom: 1.519

```
data_ThMg4Pa
_chemical_formula_sum 'Th1 Mg4 Pa1'
_symmetry_space_group_name_H-M 'P 1'
_symmetry_Int_Tables_number 1
_symmetry_space_group_name_Hall 'P 1'
_cell_length_a 5.9651
_cell_length_b 5.9651
_cell_length_c 5.9651
_cell_angle_alpha 60.00
_cell_angle_beta 60.00
_cell_angle_gamma 60.00
loop_
_atom_site_label
_atom_site_fract_x
_atom_site_fract_y
_atom_site_fract_z
Th1 0.0000 0.0000 0.0000
Mg1 0.1267 0.6244 0.6244
Mg2 0.6244 0.1267 0.6244
Mg3 0.6244 0.6244 0.1267
Mg4 0.6244 0.6244 0.6244
Pa1 0.2500 0.2500 0.2500
```

***

No. 5
First-principles (PBE-GGA) data for a relaxed Tb4Nd3Y4 crystal, as listed in Alexandria.

Computed properties:
Energy of formation in eV per atom: 0.152
D(E_F) in states/eV/atom: 1.600

```
data_Tb4Nd3Y4
_chemical_formula_sum 'Tb4 Nd3 Y4'
_symmetry_space_group_name_H-M 'P 1'
_symmetry_Int_Tables_number 1
_symmetry_space_group_name_Hall 'P 1'
_cell_length_a 10.6666
_cell_length_b 6.7017
_cell_length_c 6.7017
_cell_angle_alpha 50.72
_cell_angle_beta 90.00
_cell_angle_gamma 90.00
loop_
_atom_site_label
_atom_site_fract_x
_atom_site_fract_y
_atom_site_fract_z
Tb1 0.0000 0.0000 0.0000
Tb2 0.2127 0.7979 0.7979
Tb3 0.5000 0.9305 0.9305
Tb4 0.7873 0.7979 0.7979
Nd1 0.0000 0.2976 0.2976
Nd2 0.2966 0.4461 0.4461
Nd3 0.7034 0.4461 0.4461
Y1 0.0000 0.5982 0.5982
Y2 0.2925 0.1424 0.1424
Y3 0.5000 0.6591 0.6591
Y4 0.7075 0.1424 0.1424
```

***

No. 6
First-principles (PBE-GGA) data for a relaxed HfHgS2 crystal, as listed in Alexandria.

Computed properties:
ΔE_f (raw) in eV per atom: -0.317
D(E_F) in states/eV/atom: 0.321

```
data_HfHgS2
_chemical_formula_sum 'Hf1 Hg1 S2'
_symmetry_space_group_name_H-M 'P 1'
_symmetry_Int_Tables_number 1
_symmetry_space_group_name_Hall 'P 1'
_cell_length_a 4.6247
_cell_length_b 4.6247
_cell_length_c 3.3819
_cell_angle_alpha 90.00
_cell_angle_beta 90.00
_cell_angle_gamma 90.00
loop_
_atom_site_label
_atom_site_fract_x
_atom_site_fract_y
_atom_site_fract_z
Hf1 0.0000 0.0000 0.0000
Hg1 0.5000 0.5000 0.0000
S1 0.0000 0.5000 0.5000
S2 0.5000 0.0000 0.5000
```